# 1
Computed, not measured: an optimized crystal structure of NpFe2Si2P at the PBE level of DFT.

Cell and atoms, written as POSCAR:
```
NpFe2Si2P
1.0
4.157 0.000 0.000
0.000 4.157 0.000
0.000 0.000 5.278
Fe Si Np P
2 2 1 1
direct
0.000 0.500 0.000
0.500 0.000 0.000
0.500 0.500 0.274
0.500 0.500 0.726
0.000 0.000 0.500
0.000 0.000 0.000
```

Crystal system = tetragonal
E_form (uncorrected) = -257 meV per atom
SG = P4/mmm, No. 123

=====

# 2
Computed, not measured: an optimized crystal structure of NpUFe2P2 at the PBE level of DFT.

Cell and atoms, written as POSCAR:
```
NpUFe2P2
1.0
3.951 0.000 0.000
-1.976 3.422 0.000
0.000 0.000 7.167
Np Fe P U
1 2 2 1
direct
0.000 0.000 0.000
0.333 0.667 0.752
0.667 0.333 0.248
0.333 0.667 0.252
0.667 0.333 0.748
0.000 0.000 0.500
```

Crystal system = trigonal
Uncorrected energy = -9.366 eV per atom
SG = P-3m1, No. 164